No. 1
A relaxed TaTl2Cd crystal. Source: the Alexandria database, functional PBE-GGA.

```
TaTl2Cd
1.0
3.059 0.000 0.000
0.000 5.448 0.000
0.000 0.000 5.442
Ta Tl Cd
1 2 1
Cartesian
0.000 0.000 0.000
0.000 2.724 3.788
1.529 0.000 2.701
1.529 2.724 0.927
```

Properties
Its electronic total energy is -15.51 eV for the cell shown. The calculation puts the density of states at the Fermi level at 2.50 states/eV per cell. For the excess energy over the best structure of this formula in the dataset, the calculation gives 2.48 kcal/mol of atoms. Its crystal system is orthorhombic. The space-group type is Pmm2 (25).



No. 2
A relaxed HfZnH2 crystal. Source: the Alexandria database, functional PBE-GGA.

```
HfZnH2
1.0
0.000 2.709 2.709
2.709 0.000 2.709
2.709 2.709 0.000
Hf Zn H
1 1 2
Cartesian
0.000 0.000 0.000
2.709 2.709 2.709
1.355 1.355 1.355
4.064 4.064 4.064
```

Properties
Its electronic total energy is -17.38 eV for the cell shown. The calculation puts the density of states at the Fermi level at 0.68 states/eV per cell. For the excess energy over the best structure of this formula in the dataset, the calculation gives 3.52 kcal/mol of atoms. Its crystal system is cubic. The space-group type is Fm-3m (225).



No. 3
A relaxed Ca2TmThS4 crystal. Source: the Alexandria database, functional PBE-GGA.

```
Ca2TmThS4
1.0
6.854 0.000 0.000
0.000 3.926 0.000
-2.244 0.000 6.645
Ca Tm Th S
2 1 1 4
Cartesian
0.000 0.000 0.000
3.427 1.963 0.000
-1.122 1.963 3.322
2.305 0.000 3.322
-0.030 0.000 4.947
1.088 1.963 1.636
4.640 0.000 1.697
3.522 1.963 5.008
```

Properties
Its electronic total energy is -47.95 eV for the cell shown. The calculation puts the density of states at the Fermi level at 3.88 states/eV per cell. Its crystal system is monoclinic. The space-group type is P2/m (10). Its energy relative to the elements, uncorrected is -1.943 eV/atom.



No. 4
A relaxed SrTlGa2Pd crystal. Source: the Alexandria database, functional PBE-GGA.

```
SrTlGa2Pd
1.0
4.937 0.000 0.000
0.000 4.937 0.000
0.000 0.000 5.401
Sr Tl Ga Pd
1 1 2 1
Cartesian
0.000 0.000 0.000
2.469 2.469 0.000
0.000 2.469 2.700
2.469 0.000 2.700
2.469 2.469 2.700
```

Properties
Its electronic total energy is -16.52 eV for the cell shown. The calculation puts the density of states at the Fermi level at 3.10 states/eV per cell. Its crystal system is tetragonal. The space-group type is P4/mmm (123).



No. 5
A relaxed TlCrCdCo2 crystal. Source: the Alexandria database, functional PBE-GGA.

```
TlCrCdCo2
1.0
4.304 0.000 0.000
0.000 4.304 0.000
0.000 0.000 5.077
Tl Cr Cd Co
1 1 1 2
Cartesian
0.000 0.000 0.000
0.000 0.000 2.539
2.152 2.152 0.000
0.000 2.152 2.539
2.152 0.000 2.539
```

Properties
Its electronic total energy is -21.54 eV for the cell shown. The calculation puts the density of states at the Fermi level at 6.70 states/eV per cell. Its crystal system is tetragonal. The space-group type is P4/mmm (123).



No. 6
A relaxed RbGaAs2Br crystal. Source: the Alexandria database, functional PBE-GGA.

```
RbGaAs2Br
1.0
4.920 0.000 0.000
0.000 4.920 0.000
0.000 0.000 6.661
Rb Ga As Br
1 1 2 1
Cartesian
0.000 0.000 0.000
2.460 2.460 3.330
0.000 2.460 3.330
2.460 0.000 3.330
2.460 2.460 0.000
```

Properties
Its electronic total energy is -15.64 eV for the cell shown. The calculation puts the density of states at the Fermi level at 3.66 states/eV per cell. For the excess energy over the best structure of this formula in the dataset, the calculation gives 0.00 kcal/mol of atoms. Its crystal system is tetragonal. The space-group type is P4/mmm (123). Its energy relative to the elements, uncorrected is -0.134 eV/atom.



No. 7
A relaxed Tm4MgTc2 crystal. Source: the Alexandria database, functional PBE-GGA.

```
Tm4MgTc2
1.0
2.567 -4.448 0.000
2.567 4.448 0.000
0.000 0.000 14.261
Tm Mg Tc
8 2 4
Cartesian
0.000 0.000 0.000
0.000 0.000 7.130
2.567 1.486 8.876
2.567 1.486 12.515
2.567 1.478 3.565
2.567 -1.478 10.696
2.567 -1.486 1.746
2.567 -1.486 5.385
2.567 4.443 3.565
2.567 -4.443 10.696
2.567 1.479 0.933
2.567 1.479 6.197
2.567 -1.479 8.064
2.567 -1.479 13.327
```

Properties
Its electronic total energy is -79.45 eV for the cell shown. The calculation puts the density of states at the Fermi level at 16.69 states/eV per cell. Its crystal system is orthorhombic. The space-group type is Cmcm (63).



No. 8
A relaxed MgAg crystal. Source: the Alexandria database, functional PBE-GGA.

```
MgAg
1.0
5.093 -1.652 0.000
5.093 1.652 0.000
-1.563 0.000 4.465
Mg Ag
2 2
Cartesian
0.647 0.000 1.484
7.976 0.000 2.980
3.531 0.000 0.703
5.091 0.000 3.762
```

Properties
Its electronic total energy is -9.68 eV for the cell shown. The calculation puts the density of states at the Fermi level at 1.06 states/eV per cell. Its crystal system is monoclinic. The space-group type is C2/m (12).



No. 9
A relaxed CeB4Rh4 crystal. Source: the Alexandria database, functional PBE-GGA.

```
CeB4Rh4
1.0
5.361 0.000 0.000
0.000 5.361 0.000
0.000 0.000 7.516
Ce B Rh
2 8 8
Cartesian
1.340 4.021 1.879
4.021 1.340 5.637
0.444 1.340 0.759
1.340 0.444 4.517
1.340 2.236 4.517
2.236 1.340 0.759
3.125 4.021 6.757
4.021 3.125 2.999
4.021 4.917 2.999
4.917 4.021 6.757
0.002 1.340 2.978
5.359 4.021 4.539
1.340 0.002 6.736
1.340 2.678 6.736
2.678 1.340 2.978
2.683 4.021 4.539
4.021 5.359 0.780
4.021 2.683 0.780
```

Properties
Its electronic total energy is -134.20 eV for the cell shown. The calculation puts the density of states at the Fermi level at 11.26 states/eV per cell. Its crystal system is tetragonal. The space-group type is P4_2/nmc (137).



No. 10
A relaxed Fe2SnRhS crystal. Source: the Alexandria database, functional PBE-GGA.

```
Fe2SnRhS
1.0
4.800 0.000 0.000
0.000 4.800 0.000
0.000 0.000 4.945
Fe Sn Rh S
2 1 1 1
Cartesian
0.000 2.400 0.000
2.400 0.000 0.000
0.000 0.000 0.000
2.400 2.400 2.473
0.000 0.000 2.473
```

Properties
Its electronic total energy is -24.23 eV for the cell shown. The calculation puts the density of states at the Fermi level at 7.02 states/eV per cell. Its crystal system is tetragonal. The space-group type is P4/mmm (123). Its energy relative to the elements, uncorrected is 1.635 eV/atom.



No. 11
A relaxed K3PmSm2O6 crystal. Source: the Alexandria database, functional PBE-GGA.

```
K3PmSm2O6
1.0
3.114 -5.393 0.000
3.114 5.393 0.000
-2.075 0.000 6.298
K Pm Sm O
3 1 2 6
Cartesian
0.000 0.000 0.000
3.114 1.799 0.000
3.114 -1.799 0.000
2.076 0.000 3.149
2.076 3.596 3.149
2.076 -3.596 3.149
1.034 1.805 1.957
-0.008 0.000 4.341
1.034 -1.805 1.957
3.119 1.805 4.341
4.161 0.000 1.957
3.119 -1.805 4.341
```

Properties
Its electronic total energy is -79.14 eV for the cell shown. The calculation puts the density of states at the Fermi level at 0.00 states/eV per cell. Its crystal system is monoclinic. The space-group type is C2/m (12). Its energy relative to the elements, uncorrected is -2.659 eV/atom.



No. 12
A relaxed LuHf3O crystal. Source: the Alexandria database, functional PBE-GGA.

```
LuHf3O
1.0
4.570 0.000 0.000
0.000 4.570 0.000
0.000 0.000 4.570
Lu Hf O
1 3 1
Cartesian
0.000 0.000 0.000
0.000 2.285 2.285
2.285 0.000 2.285
2.285 2.285 0.000
2.285 2.285 2.285
```

Properties
Its electronic total energy is -44.06 eV for the cell shown. The calculation puts the density of states at the Fermi level at 4.00 states/eV per cell. Its crystal system is cubic. The space-group type is Pm-3m (221). Its energy relative to the elements, uncorrected is -0.944 eV/atom.



No. 13
A relaxed Zr3Co2Ru crystal. Source: the Alexandria database, functional PBE-GGA.

```
Zr3Co2Ru
1.0
3.223 0.000 0.000
0.000 3.223 0.000
0.000 0.000 9.679
Zr Co Ru
3 2 1
Cartesian
0.000 0.000 0.000
0.000 0.000 3.176
0.000 0.000 6.503
1.612 1.612 1.596
1.612 1.612 8.083
1.612 1.612 4.840
```

Properties
Its electronic total energy is -51.49 eV for the cell shown. The calculation puts the density of states at the Fermi level at 4.72 states/eV per cell. For the excess energy over the best structure of this formula in the dataset, the calculation gives 0.00 kcal/mol of atoms. Its crystal system is tetragonal. The space-group type is P4/mmm (123).



No. 14
A relaxed Mg2HgPd7 crystal. Source: the Alexandria database, functional PBE-GGA.

```
Mg2HgPd7
1.0
3.627 -6.843 0.000
3.627 6.843 0.000
0.000 0.000 4.150
Mg Hg Pd
2 1 7
Cartesian
3.627 4.153 0.000
3.627 -4.153 0.000
3.627 0.000 2.075
0.000 0.000 0.000
2.266 1.453 0.000
3.627 2.689 2.075
2.266 -1.453 0.000
4.987 1.453 0.000
3.627 -2.689 2.075
4.987 -1.453 0.000
```

Properties
Its electronic total energy is -38.46 eV for the cell shown. The calculation puts the density of states at the Fermi level at 9.06 states/eV per cell. Its crystal system is orthorhombic. The space-group type is Cmmm (65).



No. 15
A relaxed RbHg3Br crystal. Source: the Alexandria database, functional PBE-GGA.

```
RbHg3Br
1.0
6.787 0.000 0.000
0.000 6.787 0.000
0.000 0.000 6.787
Rb Hg Br
1 3 1
Cartesian
0.000 0.000 0.000
0.000 0.000 3.394
0.000 3.394 0.000
3.394 0.000 0.000
3.394 3.394 3.394
```

Properties
Its electronic total energy is -4.39 eV for the cell shown. The calculation puts the density of states at the Fermi level at 0.00 states/eV per cell. For the excess energy over the best structure of this formula in the dataset, the calculation gives 1.35 kcal/mol of atoms. Its crystal system is cubic. The space-group type is Pm-3m (221). Its energy relative to the elements, uncorrected is -0.169 eV/atom.



No. 16
A relaxed Mg2CdB2Rh5 crystal. Source: the Alexandria database, functional PBE-GGA.

```
Mg2CdB2Rh5
1.0
9.687 0.000 0.000
0.000 9.687 0.000
0.000 0.000 2.951
Mg Cd B Rh
4 2 4 10
Cartesian
1.720 3.124 0.000
3.124 7.967 0.000
6.563 1.720 0.000
7.967 6.563 0.000
0.000 0.000 0.000
4.844 4.844 0.000
1.199 6.043 0.000
3.645 1.199 0.000
6.043 8.488 0.000
8.488 3.645 0.000
0.000 4.844 1.476
0.684 7.492 1.476
2.195 0.684 1.476
2.649 5.528 1.476
4.159 2.649 1.476
4.844 0.000 1.476
5.528 7.038 1.476
7.038 4.159 1.476
7.492 9.003 1.476
9.003 2.195 1.476
```

Properties
Its electronic total energy is -118.44 eV for the cell shown. The calculation puts the density of states at the Fermi level at 3.63 states/eV per cell. Its crystal system is tetragonal. The space-group type is P4/mbm (127).



No. 17
A relaxed Cd2FeH2 crystal. Source: the Alexandria database, functional PBE-GGA.

```
Cd2FeH2
1.0
5.569 0.000 0.000
0.000 5.569 0.000
0.000 0.000 4.151
Cd Fe H
4 2 4
Cartesian
1.075 1.709 0.000
1.709 4.494 0.000
3.860 1.075 0.000
4.494 3.860 0.000
0.000 0.000 2.076
2.784 2.784 2.076
1.292 1.492 2.076
1.492 4.277 2.076
4.077 1.292 2.076
4.277 4.077 2.076
```

Properties
Its electronic total energy is -30.31 eV for the cell shown. The calculation puts the density of states at the Fermi level at 5.91 states/eV per cell. For the excess energy over the best structure of this formula in the dataset, the calculation gives 0.00 kcal/mol of atoms. Its crystal system is tetragonal. The space-group type is P4/mbm (127).



No. 18
A relaxed SmDyCdPb crystal. Source: the Alexandria database, functional PBE-GGA.

```
SmDyCdPb
1.0
0.000 3.810 3.810
3.810 0.000 3.810
3.810 3.810 0.000
Sm Dy Cd Pb
1 1 1 1
Cartesian
0.000 0.000 0.000
3.810 3.810 3.810
1.905 1.905 1.905
5.715 5.715 5.715
```

Properties
Its electronic total energy is -15.55 eV for the cell shown. The calculation puts the density of states at the Fermi level at 3.58 states/eV per cell. Its crystal system is cubic. The space-group type is F-43m (216).



No. 19
A relaxed Ir2SeCl crystal. Source: the Alexandria database, functional PBE-GGA.

```
Ir2SeCl
1.0
0.000 3.200 3.200
3.200 0.000 3.200
3.200 3.200 0.000
Ir Se Cl
2 1 1
Cartesian
0.000 0.000 0.000
1.600 1.600 1.600
3.200 3.200 3.200
4.800 4.800 4.800
```

Properties
Its electronic total energy is -19.17 eV for the cell shown. The calculation puts the density of states at the Fermi level at 5.27 states/eV per cell. For the excess energy over the best structure of this formula in the dataset, the calculation gives 21.60 kcal/mol of atoms. Its crystal system is cubic. The space-group type is F-43m (216). Its energy relative to the elements, uncorrected is 0.970 eV/atom.



No. 20
A relaxed CrPbW crystal. Source: the Alexandria database, functional PBE-GGA.

```
CrPbW
1.0
0.000 3.083 3.083
3.083 0.000 3.083
3.083 3.083 0.000
Cr Pb W
1 1 1
Cartesian
0.000 0.000 0.000
4.625 4.625 4.625
1.542 1.542 1.542
```

Properties
Its electronic total energy is -23.46 eV for the cell shown. The calculation puts the density of states at the Fermi level at 2.62 states/eV per cell. For the excess energy over the best structure of this formula in the dataset, the calculation gives 5.26 kcal/mol of atoms. Its crystal system is cubic. The space-group type is F-43m (216).